Compound: BaGa3Fe
Source: Alexandria via LeMat-Bulk
Functional: SCAN
Structure: single point on PBEsol structure

DFT formation energy   -1.7 eV per formula unit
Total moment   0.69 Bohr magnetons per cell
Energy   -108.45 eV/cell

Cell lengths 4.6500, 4.6500, 4.6500 Å; angles 90.00, 90.00, 90.00 degrees
Fractional coordinates of all 5 atoms:
Ba 0.0000 0.0000 0.0000
Ga 0.0000 0.5000 0.5000
Ga 0.5000 0.0000 0.5000
Ga 0.5000 0.5000 0.0000
Fe 0.5000 0.5000 0.5000